Material: Ti5VC6
Method: DFT, PBE
State: relaxed

Values from the calculation:
energy of formation from the pure elements = -751 meV/atom
mass density = 5027 kg/m³
total DFT energy (no corrections) = -112.94 eV/cell
SG = No. 12

a b c (Å): 5.2717 5.2733 5.2736
angles (deg): 60.00 80.40 70.51
With the nearest neighbours (Å) after each atom.
Fractional coordinates of all 12 atoms:
1 Ti 0.0000 0.6665 0.6670  6 C 2.15
2 C 0.2473 0.2466 0.0000  1 V 2.13, 5 Ti 2.15-2.18
3 Ti 0.5000 0.5000 0.0000  6 C 2.15-2.18
4 C 0.7534 0.4114 0.6708  1 V 2.12, 5 Ti 2.15-2.18
5 C 0.7534 0.0821 0.3292  1 V 2.12, 5 Ti 2.15-2.18
6 C 0.7527 0.7534 0.0000  1 V 2.13, 5 Ti 2.15-2.18
7 V 0.0000 0.0000 0.0000  6 C 2.12-2.13
8 C 0.2466 0.5886 0.3292  1 V 2.12, 5 Ti 2.15-2.18
9 Ti 0.5000 0.8328 0.3344  6 C 2.15-2.18
10 C 0.2466 0.9179 0.6708  1 V 2.12, 5 Ti 2.15-2.18
11 Ti 0.0000 0.3335 0.3330  6 C 2.15
12 Ti 0.5000 0.1672 0.6656  6 C 2.15-2.18